No. 1
Density functional theory data (PBE-GGA) for a geometry-optimized Pm8SmTl2 structure.

spin magnetization = 0.00 μB per formula unit
electronic total energy = -4.36 eV/atom
ΔH_f (0 K) = -0.047 eV per atom
crystal system = monoclinic
space group = C2/m, No. 12

Cell lengths 9.3452, 9.3452, 6.2345 Å; angles 102.14, 102.14, 42.51 degrees
With the nearest neighbours (Å) after each atom.
Fractional coordinates of all 11 atoms:
Pm  0.0050  0.0050  0.2438  2 Pm 3.01-3.24, 1 Tl 3.31
Pm  0.0659  0.5859  0.3805  4 Pm 3.25-3.61, 3 Tl 3.28-3.61, 1 Sm 3.44
Pm  0.3702  0.3702  0.9183  3 Tl 3.48-3.79, 6 Pm 3.61-3.86, 2 Sm 3.82
Pm  0.4141  0.9341  0.6195  4 Pm 3.25-3.61, 3 Tl 3.28-3.61, 1 Sm 3.44
Pm  0.5859  0.0659  0.3805  4 Pm 3.25-3.61, 3 Tl 3.28-3.61, 1 Sm 3.44
Pm  0.6298  0.6298  0.0817  3 Tl 3.48-3.79, 6 Pm 3.61-3.86, 2 Sm 3.82
Pm  0.9341  0.4141  0.6195  4 Pm 3.25-3.61, 3 Tl 3.28-3.61, 1 Sm 3.44
Pm  0.9950  0.9950  0.7562  2 Pm 3.01-3.24, 1 Tl 3.31
Sm  0.5000  0.5000  0.5000  12 Pm 3.44-3.82
Tl  0.1774  0.1774  0.1043  10 Pm 3.28-3.61
Tl  0.8226  0.8226  0.8957  10 Pm 3.28-3.61

***

No. 2
Density functional theory data (PBE-GGA) for a geometry-optimized Tb4CeEr3 structure.

spin magnetization = 0.94 μB per formula unit
electronic total energy = -4.57 eV/atom
ΔH_f (0 K) = 0.196 eV per atom
crystal system = monoclinic
space group = C2/m, No. 12

Cell lengths 11.7730, 11.7730, 6.7078 Å; angles 106.48, 106.48, 16.67 degrees
With the nearest neighbours (Å) after each atom.
Fractional coordinates of all 8 atoms:
Tb  0.1240  0.1240  0.3797  3 Er 3.26-3.45, 5 Tb 3.41-3.52, 2 Ce 3.64
Tb  0.2592  0.2592  0.2586  9 Tb 3.41-3.79, 3 Er 3.47-3.50
Tb  0.7408  0.7408  0.7414  9 Tb 3.41-3.79, 3 Er 3.47-3.50
Tb  0.8760  0.8760  0.6203  3 Er 3.26-3.45, 5 Tb 3.41-3.52, 2 Ce 3.64
Ce  0.5000  0.5000  0.5000  2 Ce 3.41, 4 Tb 3.64, 8 Er 3.64-3.76
Er  0.0000  0.0000  0.0000  2 Tb 3.26, 4 Er 3.27-3.41
Er  0.1244  0.1244  0.8657  5 Tb 3.26-3.50, 3 Er 3.27-3.41, 2 Ce 3.64
Er  0.8756  0.8756  0.1343  5 Tb 3.26-3.50, 3 Er 3.27-3.41, 2 Ce 3.64

***

No. 3
Density functional theory data (PBE-GGA) for a geometry-optimized SmDy2Zn3 structure.

spin magnetization = 0.00 μB per formula unit
electronic total energy = -3.29 eV/atom
ΔH_f (0 K) = -0.331 eV per atom
crystal system = tetragonal
space group = P4/mmm, No. 123

Cell lengths 3.5914, 3.5914, 10.7832 Å; angles 90.00, 90.00, 90.00 degrees
With the nearest neighbours (Å) after each atom.
Fractional coordinates of all 6 atoms:
Sm  0.0000  0.0000  0.0000  8 Zn 3.16
Dy  0.0000  0.0000  0.3356  8 Zn 3.08-3.10
Dy  0.0000  0.0000  0.6644  8 Zn 3.08-3.10
Zn  0.5000  0.5000  0.1741  4 Dy 3.08, 4 Sm 3.16
Zn  0.5000  0.5000  0.5000  8 Dy 3.10
Zn  0.5000  0.5000  0.8259  4 Dy 3.08, 4 Sm 3.16

***

No. 4
Density functional theory data (PBE-GGA) for a geometry-optimized KPtBr structure.

raw formation energy = -671.1 meV/atom
spin magnetization = 0.00 μB per formula unit
electronic total energy = -3.61 eV/atom
crystal system = monoclinic
space group = C2/m, No. 12

Cell lengths 6.4034, 6.4034, 7.4075 Å; angles 96.47, 96.47, 34.73 degrees
With the nearest neighbours (Å) after each atom.
Fractional coordinates of all 6 atoms:
K  0.0968  0.0968  0.2736  3 Pt 3.26-3.40, 5 Br 3.36-3.54
K  0.9032  0.9032  0.7264  3 Pt 3.26-3.40, 5 Br 3.36-3.54
Pt  0.2093  0.2093  0.8952  2 Pt 2.59, 2 Br 2.62
Pt  0.7907  0.7907  0.1048  2 Pt 2.59, 2 Br 2.62
Br  0.3738  0.3738  0.3217  2 Pt 2.62
Br  0.6262  0.6262  0.6783  2 Pt 2.62

***

No. 5
Density functional theory data (PBE-GGA) for a geometry-optimized BaNaSr2Li structure.

spin magnetization = 0.00 μB per formula unit
electronic total energy = -1.56 eV/atom
ΔH_f (0 K) = 0.146 eV per atom
crystal system = tetragonal
space group = P4/mmm, No. 123

Cell lengths 6.4884, 6.4884, 5.9124 Å; angles 90.00, 90.00, 90.00 degrees
With the nearest neighbours (Å) after each atom.
Fractional coordinates of all 5 atoms:
Ba  0.0000  0.0000  0.0000  8 Sr 4.39, 4 Na 4.59
Na  0.5000  0.5000  0.0000  2 Li 2.96
Sr  0.0000  0.5000  0.5000  2 Li 3.24
Sr  0.5000  0.0000  0.5000  2 Li 3.24
Li  0.5000  0.5000  0.5000  2 Na 2.96, 4 Sr 3.24

***

No. 6
Density functional theory data (PBE-GGA) for a geometry-optimized NdEuRu4 structure.

spin magnetization = 5.13 μB per formula unit
electronic total energy = -8.72 eV/atom
ΔH_f (0 K) = -0.033 eV per atom
crystal system = cubic
space group = F-43m, No. 216

Cell lengths 5.4158, 5.4158, 5.4158 Å; angles 60.00, 60.00, 60.00 degrees
With the nearest neighbours (Å) after each atom.
Fractional coordinates of all 6 atoms:
Nd  0.0000  0.0000  0.0000  12 Ru 3.18, 4 Eu 3.32
Eu  0.2500  0.2500  0.2500  12 Ru 3.18, 4 Nd 3.32
Ru  0.1252  0.6249  0.6249  6 Ru 2.71
Ru  0.6249  0.1252  0.6249  6 Ru 2.71
Ru  0.6249  0.6249  0.1252  6 Ru 2.71
Ru  0.6249  0.6249  0.6249  6 Ru 2.71

***

No. 7
Density functional theory data (PBE-GGA) for a geometry-optimized LiGd2Zr structure.

spin magnetization = 14.58 μB per formula unit
electronic total energy = -9.58 eV/atom
ΔH_f (0 K) = 0.080 eV per atom
crystal system = tetragonal
space group = P4/mmm, No. 123

Cell lengths 3.4110, 3.4110, 9.3109 Å; angles 90.00, 90.00, 90.00 degrees
With the nearest neighbours (Å) after each atom.
Fractional coordinates of all 4 atoms:
Li  0.0000  0.0000  0.0000  8 Gd 3.38, 4 Li 3.41
Gd  0.5000  0.5000  0.2546  4 Zr 3.32, 4 Li 3.38, 4 Gd 3.41
Gd  0.5000  0.5000  0.7454  4 Zr 3.32, 4 Li 3.38, 4 Gd 3.41
Zr  0.0000  0.0000  0.5000  8 Gd 3.32, 4 Zr 3.41

***

No. 8
Density functional theory data (PBE-GGA) for a geometry-optimized EuAlGaCu structure.

spin magnetization = 6.83 μB per formula unit
electronic total energy = -5.52 eV/atom
ΔH_f (0 K) = -0.235 eV per atom
crystal system = cubic
space group = F-43m, No. 216

Cell lengths 4.7633, 4.7633, 4.7633 Å; angles 60.00, 60.00, 60.00 degrees
With the nearest neighbours (Å) after each atom.
Fractional coordinates of all 4 atoms:
Eu  0.0000  0.0000  0.0000  4 Cu 2.92, 4 Ga 2.92
Al  0.5000  0.5000  0.5000  4 Cu 2.92, 4 Ga 2.92
Ga  0.7500  0.7500  0.7500  4 Al 2.92, 4 Eu 2.92
Cu  0.2500  0.2500  0.2500  4 Al 2.92, 4 Eu 2.92

***

No. 9
Density functional theory data (PBE-GGA) for a geometry-optimized BaAs3Au structure.

spin magnetization = 0.00 μB per formula unit
electronic total energy = -4.27 eV/atom
ΔH_f (0 K) = -0.443 eV per atom
crystal system = monoclinic
space group = P2_1, No. 4

Cell lengths 6.4974, 5.9080, 7.1216 Å; angles 90.00, 90.06, 90.00 degrees
With the nearest neighbours (Å) after each atom.
Fractional coordinates of all 10 atoms:
Ba  0.2497  0.0000  0.2050  7 As 3.31-3.57, 3 Au 3.44-3.67
Ba  0.7503  0.5000  0.7950  7 As 3.31-3.57, 3 Au 3.44-3.67
As  0.0050  0.0182  0.6844  1 As 2.49, 2 Au 2.66-2.70
As  0.2504  0.7258  0.8002  2 As 2.49, 1 Au 2.66
As  0.4954  0.0184  0.6841  1 As 2.49, 2 Au 2.66-2.70
As  0.5046  0.5184  0.3159  1 As 2.49, 2 Au 2.66-2.70
As  0.7496  0.2258  0.1998  2 As 2.49, 1 Au 2.66
As  0.9950  0.5182  0.3156  1 As 2.49, 2 Au 2.66-2.70
Au  0.2501  0.3586  0.5848  5 As 2.66-2.70
Au  0.7499  0.8586  0.4152  5 As 2.66-2.70

***

No. 10
Density functional theory data (PBE-GGA) for a geometry-optimized MnHgAu2 structure.

spin magnetization = 4.20 μB per formula unit
electronic total energy = -3.95 eV/atom
ΔH_f (0 K) = 0.060 eV per atom
crystal system = tetragonal
space group = I4/mmm, No. 139

Cell lengths 4.9509, 4.9509, 4.9509 Å; angles 128.08, 128.08, 76.49 degrees
With the nearest neighbours (Å) after each atom.
Fractional coordinates of all 4 atoms:
Mn  0.0000  0.0000  0.0000  8 Au 2.91, 4 Hg 3.06
Hg  0.5000  0.5000  0.0000  8 Au 2.91, 4 Mn 3.06
Au  0.2500  0.7500  0.5000  4 Hg 2.91, 4 Mn 2.91, 4 Au 3.06
Au  0.7500  0.2500  0.5000  4 Hg 2.91, 4 Mn 2.91, 4 Au 3.06

***

No. 11
Density functional theory data (PBE-GGA) for a geometry-optimized CdBP structure.

spin magnetization = 0.00 μB per formula unit
electronic total energy = -4.13 eV/atom
ΔH_f (0 K) = 0.205 eV per atom
crystal system = triclinic
space group = P1, No. 1

Cell lengths 4.4078, 4.4081, 5.7402 Å; angles 81.11, 81.24, 87.39 degrees
With the nearest neighbours (Å) after each atom.
Fractional coordinates of all 6 atoms:
Cd  0.0000  0.0000  0.0000  1 B 2.42, 1 P 2.68
Cd  0.4806  0.5194  0.9994  1 B 2.42, 1 P 2.69
B  0.0029  0.2412  0.5915  1 B 1.69
B  0.7246  0.5192  0.5916  1 B 1.69
P  0.4259  0.3026  0.4676  2 B 1.91-1.94
P  0.7858  0.9426  0.4677  2 B 1.91-1.94

***

No. 12
Density functional theory data (PBE-GGA) for a geometry-optimized Ta2ReRh structure.

spin magnetization = 0.00 μB per formula unit
electronic total energy = -10.80 eV/atom
ΔH_f (0 K) = 0.073 eV per atom
crystal system = trigonal
space group = R3m, No. 160

Cell lengths 9.6785, 9.6785, 9.6785 Å; angles 16.80, 16.80, 16.80 degrees
With the nearest neighbours (Å) after each atom.
Fractional coordinates of all 4 atoms:
Ta  0.0000  0.0000  0.0000  3 Rh 2.82, 9 Ta 2.83-3.08
Ta  0.2420  0.2420  0.2420  9 Ta 2.83-3.08, 3 Re 2.94
Re  0.4899  0.4899  0.4899  3 Rh 2.73, 6 Re 2.83, 3 Ta 2.94
Rh  0.7470  0.7470  0.7470  3 Re 2.73, 3 Ta 2.82, 6 Rh 2.83

***

No. 13
Density functional theory data (PBE-GGA) for a geometry-optimized KIn2Te structure.

raw formation energy = -342.1 meV/atom
spin magnetization = 0.00 μB per formula unit
electronic total energy = -2.77 eV/atom
crystal system = orthorhombic
space group = Immm, No. 71

Cell lengths 6.8157, 6.8157, 6.8157 Å; angles 145.60, 131.80, 60.55 degrees
With the nearest neighbours (Å) after each atom.
Fractional coordinates of all 4 atoms:
K  0.0000  0.0000  0.0000  4 Te 3.44, 4 In 3.75
In  0.2866  0.7866  0.5000  2 Te 3.22, 4 In 3.54
In  0.7134  0.2134  0.5000  2 Te 3.22, 4 In 3.54
Te  0.5000  0.5000  0.0000  4 In 3.22, 4 K 3.44